This record from Alexandria via LeMat-Bulk describes crystalline CaCu2H6Pd at its relaxed geometry. The functional is PBE.

Calculated values
ρ: 4.7 g/cm3
SG: P1 (1)
Total energy: -36.76 eV/cell
Total moment: 0.00 μB/cell

a b c (Å): 4.7390 4.9048 5.0191
angles (deg): 63.17 71.14 84.90
Positions (direct):
Ca 0.0000 0.0000 0.0000
Cu 0.2597 0.3547 0.2369
Cu 0.3386 0.7381 0.4426
H 0.0539 0.9883 0.5004
H 0.0547 0.4810 0.5061
H 0.5050 0.7261 0.0863
H 0.5139 0.2926 0.9502
H 0.6096 0.8778 0.4823
H 0.9773 0.4736 0.0369
Pd 0.7643 0.6310 0.7745

---

This record from Alexandria via LeMat-Bulk describes crystalline Ca2CuH6Pd at its relaxed geometry. The functional is PBE.

Calculated values
ρ: 4.3 g/cm3
SG: Fmmm (69)
Total energy: -37.56 eV/cell
Total moment: 0.00 μB/cell

a b c (Å): 5.2136 5.2020 5.1696
angles (deg): 60.35 60.13 59.52
Positions (direct):
Ca 0.2500 0.2500 0.2500
Ca 0.7500 0.7500 0.7500
Cu 0.0000 0.0000 0.0000
H 0.2444 0.2444 0.7556
H 0.2449 0.7551 0.2449
H 0.2452 0.7548 0.7548
H 0.7548 0.2452 0.2452
H 0.7551 0.2449 0.7551
H 0.7556 0.7556 0.2444
Pd 0.5000 0.5000 0.5000

---

This record from Alexandria via LeMat-Bulk describes crystalline CaCuHPd2 at its relaxed geometry. The functional is PBE.

Calculated values
ρ: 7.5 g/cm3
SG: P4/mmm (123)
Total energy: -21.45 eV/cell
Total moment: 0.00 μB/cell

a b c (Å): 4.1993 4.1993 3.9758
angles (deg): 90.00 90.00 90.00
Positions (direct):
Ca 0.0000 0.0000 0.0000
Cu 0.5000 0.5000 0.0000
H 0.5000 0.5000 0.5000
Pd 0.0000 0.5000 0.5000
Pd 0.5000 0.0000 0.5000

---

Which formula does entry 1 have? CaCu2H6Pd

---

Number 1 is which compound? CaCu2H6Pd

---

The highest ρ belongs to which entry? CaCuHPd2